# 1
LiBe2B | PBE | optimized geometry Values from VASP.

Cell and atoms, written as Quantum ESPRESSO input:
```
&SYSTEM
  ibrav = 0, nat = 4, ntyp = 3
/
ATOMIC_SPECIES
B 10.81 B.upf
Be 9.01 Be.upf
Li 6.94 Li.upf
CELL_PARAMETERS angstrom
-1.766 1.470 -2.410
-2.975 -1.222 -0.866
-3.439 2.568 1.786
ATOMIC_POSITIONS crystal
B 0.000 0.000 0.000
Be 0.313 0.313 0.061
Be 0.687 0.687 0.939
Li 0.500 0.500 0.500
```

Results
space group = R-3m, No. 166
total moment = 0.000 μB per atom
total DFT energy (no corrections) = -4.033 eV/atom

***

# 2
LiBeB | PBE | optimized geometry Values from VASP.

Cell and atoms, written as Quantum ESPRESSO input:
```
&SYSTEM
  ibrav = 0, nat = 6, ntyp = 3
/
ATOMIC_SPECIES
Li 6.94 Li.upf
B 10.81 B.upf
Be 9.01 Be.upf
CELL_PARAMETERS angstrom
3.233 0.000 0.000
0.000 3.633 0.000
0.000 0.000 5.105
ATOMIC_POSITIONS crystal
Li 0.000 0.000 0.906
B 0.500 0.757 0.195
Be 0.000 0.500 0.241
Be 0.000 0.000 0.370
B 0.500 0.243 0.195
Li 0.500 0.500 0.629
```

Results
space group = Pmm2, No. 25
total moment = 0.000 μB per atom
total DFT energy (no corrections) = -4.071 eV/atom
offset from the most stable computed form = 15.2 kJ/mol of atoms

***

# 3
LiBeB14 | PBE | optimized geometry Values from VASP.

Cell and atoms, written as Quantum ESPRESSO input:
```
&SYSTEM
  ibrav = 0, nat = 32, ntyp = 3
/
ATOMIC_SPECIES
B 10.81 B.upf
Be 9.01 Be.upf
Li 6.94 Li.upf
CELL_PARAMETERS angstrom
-3.841 2.044 -3.721
-5.742 -4.145 -0.754
-5.672 2.995 3.095
ATOMIC_POSITIONS crystal
B 0.089 0.080 0.742
Be 0.500 0.000 0.500
B 0.168 0.626 0.536
B 0.330 0.374 0.464
B 0.339 0.034 0.289
B 0.161 0.211 0.466
B 0.411 0.758 0.420
B 0.670 0.626 0.536
B 0.098 0.226 0.899
B 0.833 0.200 0.135
B 0.668 0.036 0.126
Li 0.750 0.600 0.900
B 0.667 0.365 0.300
B 0.777 0.226 0.899
B 0.911 0.920 0.258
Li 0.250 0.400 0.100
B 0.832 0.374 0.464
B 0.589 0.242 0.580
B 0.830 0.964 0.874
B 0.598 0.399 0.726
B 0.170 0.036 0.126
B 0.167 0.800 0.865
B 0.402 0.601 0.274
B 0.839 0.789 0.534
B 0.723 0.601 0.274
B 0.902 0.774 0.101
B 0.333 0.635 0.700
B 0.661 0.966 0.711
B 0.332 0.964 0.874
B 0.277 0.399 0.726
Be 0.000 0.000 0.500
B 0.223 0.774 0.101
```

Results
space group = Imma, No. 74
total moment = 0.000 μB per atom
total DFT energy (no corrections) = -6.307 eV/atom

***

# 4
LiBe3B3 | PBE | optimized geometry Values from VASP.

Cell and atoms, written as Quantum ESPRESSO input:
```
&SYSTEM
  ibrav = 0, nat = 14, ntyp = 3
/
ATOMIC_SPECIES
B 10.81 B.upf
Be 9.01 Be.upf
Li 6.94 Li.upf
CELL_PARAMETERS angstrom
-1.040 -1.760 2.118
6.292 -2.553 0.969
-2.057 5.494 3.555
ATOMIC_POSITIONS crystal
B 0.750 0.971 0.430
Be 0.750 0.909 0.672
Be 0.250 0.672 0.764
Be 0.250 0.091 0.328
Li 0.250 0.667 0.333
B 0.750 0.459 0.029
B 0.750 0.570 0.541
B 0.250 0.430 0.459
Be 0.250 0.236 0.909
Be 0.750 0.764 0.091
Be 0.750 0.328 0.236
B 0.250 0.029 0.570
B 0.250 0.541 0.971
Li 0.750 0.333 0.667
```

Results
space group = P6_3/m, No. 176
total moment = 0.000 μB per atom
total DFT energy (no corrections) = -4.663 eV/atom
offset from the most stable computed form = 0.0 kJ/mol of atoms

***

# 5
LiBe3B3 | PBE | optimized geometry Values from VASP.

Cell and atoms, written as Quantum ESPRESSO input:
```
&SYSTEM
  ibrav = 0, nat = 14, ntyp = 3
/
ATOMIC_SPECIES
Be 9.01 Be.upf
B 10.81 B.upf
Li 6.94 Li.upf
CELL_PARAMETERS angstrom
-0.644 -3.155 4.295
4.581 1.882 2.070
-2.722 3.914 2.467
ATOMIC_POSITIONS crystal
Be 0.250 0.000 0.500
B 0.750 0.500 0.000
Be 0.000 0.500 0.250
B 0.000 0.250 0.500
Be 0.500 0.250 0.000
B 0.000 0.750 0.500
Be 0.500 0.750 0.000
Li 0.500 0.500 0.500
Be 0.000 0.500 0.750
Be 0.750 0.000 0.500
B 0.500 0.000 0.750
B 0.500 0.000 0.250
B 0.250 0.500 0.000
Li 0.000 0.000 0.000
```

Results
space group = Pm-3n, No. 223
total moment = 0.000 μB per atom
total DFT energy (no corrections) = -3.771 eV/atom
offset from the most stable computed form = 86.1 kJ/mol of atoms

***

# 6
LiBeB | PBE | optimized geometry Values from VASP.

Cell and atoms, written as Quantum ESPRESSO input:
```
&SYSTEM
  ibrav = 0, nat = 12, ntyp = 3
/
ATOMIC_SPECIES
B 10.81 B.upf
Li 6.94 Li.upf
Be 9.01 Be.upf
CELL_PARAMETERS angstrom
3.903 0.000 -0.002
0.000 3.117 0.000
-0.203 0.000 8.987
ATOMIC_POSITIONS crystal
B 0.935 0.500 0.151
Li 0.689 0.000 0.331
Li 0.179 0.500 0.404
Be 0.694 0.000 0.068
B 0.155 0.500 0.664
B 0.155 0.000 0.164
B 0.935 0.000 0.651
Li 0.179 0.000 0.904
Be 0.694 0.500 0.568
Be 0.426 0.500 0.150
Li 0.689 0.500 0.831
Be 0.426 0.000 0.650
```

Results
space group = Cm, No. 8
total moment = 0.000 μB per atom
total DFT energy (no corrections) = -4.119 eV/atom
offset from the most stable computed form = 10.5 kJ/mol of atoms

***

# 7
Li2Be2B7 | PBE | optimized geometry Values from VASP.

Cell and atoms, written as Quantum ESPRESSO input:
```
&SYSTEM
  ibrav = 0, nat = 11, ntyp = 3
/
ATOMIC_SPECIES
Be 9.01 Be.upf
B 10.81 B.upf
Li 6.94 Li.upf
CELL_PARAMETERS angstrom
2.888 1.459 1.094
1.194 6.102 -0.736
1.602 0.209 6.049
ATOMIC_POSITIONS crystal
Be 0.869 0.814 0.814
B 0.346 0.659 0.995
B 0.654 0.005 0.341
B 0.654 0.341 0.005
Li 0.500 0.320 0.680
Be 0.131 0.186 0.186
B 0.000 0.000 0.000
Li 0.500 0.680 0.320
B 0.346 0.995 0.659
B 0.680 0.658 0.658
B 0.320 0.342 0.342
```

Results
space group = C2/m, No. 12
total moment = 0.000 μB per atom
total DFT energy (no corrections) = -5.132 eV/atom

***

# 8
LiBeB3 | PBE | optimized geometry Values from VASP.

Cell and atoms, written as Quantum ESPRESSO input:
```
&SYSTEM
  ibrav = 0, nat = 5, ntyp = 3
/
ATOMIC_SPECIES
B 10.81 B.upf
Li 6.94 Li.upf
Be 9.01 Be.upf
CELL_PARAMETERS angstrom
-3.318 -0.240 -1.358
-1.220 -1.139 3.182
-0.643 3.400 0.970
ATOMIC_POSITIONS crystal
B 0.000 0.000 0.500
B 0.500 0.000 0.000
B 0.000 0.500 0.000
Li 0.500 0.500 0.500
Be 0.000 0.000 0.000
```

Results
space group = Pm-3m, No. 221
total moment = 0.000 μB per atom
total DFT energy (no corrections) = -3.862 eV/atom
offset from the most stable computed form = 0.0 kJ/mol of atoms

***

# 9
LiBe22B6 | PBE | optimized geometry Values from VASP.

Cell and atoms, written as Quantum ESPRESSO input:
```
&SYSTEM
  ibrav = 0, nat = 29, ntyp = 3
/
ATOMIC_SPECIES
Be 9.01 Be.upf
B 10.81 B.upf
Li 6.94 Li.upf
CELL_PARAMETERS angstrom
5.982 0.000 3.454
1.994 5.640 3.454
0.000 0.000 6.908
ATOMIC_POSITIONS crystal
Be 0.000 0.346 0.000
B 0.260 0.740 0.740
B 0.260 0.740 0.260
B 0.740 0.740 0.260
Be 0.654 0.346 0.000
Be 0.148 0.617 0.617
Be 0.654 0.000 0.000
Be 0.000 0.000 0.346
Be 0.654 0.000 0.346
Li 0.000 0.000 0.000
Be 0.617 0.617 0.617
Be 0.346 0.654 0.000
Be 0.346 0.000 0.654
B 0.740 0.260 0.740
Be 0.346 0.000 0.000
Be 0.000 0.654 0.346
Be 0.383 0.383 0.852
Be 0.000 0.000 0.654
B 0.260 0.260 0.740
Be 0.617 0.148 0.617
Be 0.852 0.383 0.383
Be 0.617 0.617 0.148
Be 0.750 0.750 0.750
Be 0.000 0.346 0.654
B 0.740 0.260 0.260
Be 0.000 0.654 0.000
Be 0.250 0.250 0.250
Be 0.383 0.383 0.383
Be 0.383 0.852 0.383
```

Results
space group = Fm-3m, No. 225
total moment = 0.000 μB per atom
total DFT energy (no corrections) = -4.177 eV/atom

***

# 10
LiBeB | PBE | optimized geometry Values from VASP.

Cell and atoms, written as Quantum ESPRESSO input:
```
&SYSTEM
  ibrav = 0, nat = 12, ntyp = 3
/
ATOMIC_SPECIES
Li 6.94 Li.upf
B 10.81 B.upf
Be 9.01 Be.upf
CELL_PARAMETERS angstrom
5.598 0.000 0.011
0.000 3.148 0.000
-2.018 0.000 6.325
ATOMIC_POSITIONS crystal
Li 0.870 0.000 0.813
B 0.628 0.000 0.101
Be 0.405 0.500 0.109
B 0.372 0.000 0.899
Li 0.870 0.500 0.313
Li 0.130 0.000 0.187
Be 0.405 0.000 0.609
Be 0.595 0.000 0.391
B 0.628 0.500 0.601
B 0.372 0.500 0.399
Li 0.130 0.500 0.687
Be 0.595 0.500 0.891
```

Results
space group = C2/m, No. 12
total moment = 0.000 μB per atom
total DFT energy (no corrections) = -4.083 eV/atom
offset from the most stable computed form = 14.0 kJ/mol of atoms

***

# 11
LiBe10B2 | PBE | optimized geometry Values from VASP.

Cell and atoms, written as Quantum ESPRESSO input:
```
&SYSTEM
  ibrav = 0, nat = 26, ntyp = 3
/
ATOMIC_SPECIES
Be 9.01 Be.upf
B 10.81 B.upf
Li 6.94 Li.upf
CELL_PARAMETERS angstrom
-3.015 1.224 4.335
-2.811 -4.339 -1.629
4.093 -4.162 4.021
ATOMIC_POSITIONS crystal
Be 0.221 0.221 0.500
Be 0.391 0.111 0.750
Be 0.111 0.391 0.250
Be 0.821 0.179 0.097
Be 0.779 0.779 0.000
Be 0.179 0.821 0.597
Be 0.609 0.889 0.250
Be 0.236 0.465 0.750
Be 0.393 0.607 0.084
Be 0.607 0.393 0.916
B 0.000 0.500 0.000
Li 0.119 0.881 0.250
Be 0.393 0.607 0.416
Li 0.881 0.119 0.750
Be 0.764 0.535 0.250
Be 0.179 0.821 0.903
Be 0.779 0.779 0.500
Be 0.465 0.236 0.250
Be 0.889 0.609 0.750
B 0.500 0.000 0.000
B 0.500 0.000 0.500
Be 0.535 0.764 0.750
Be 0.821 0.179 0.403
B 0.000 0.500 0.500
Be 0.607 0.393 0.584
Be 0.221 0.221 0.000
```

Results
space group = Cmcm, No. 63
total moment = 0.000 μB per atom
total DFT energy (no corrections) = -4.000 eV/atom

***

# 12
LiBe2B | PBE | optimized geometry Values from VASP.

Cell and atoms, written as Quantum ESPRESSO input:
```
&SYSTEM
  ibrav = 0, nat = 8, ntyp = 3
/
ATOMIC_SPECIES
B 10.81 B.upf
Be 9.01 Be.upf
Li 6.94 Li.upf
CELL_PARAMETERS angstrom
4.316 0.000 0.000
0.000 4.316 0.000
2.158 2.158 5.701
ATOMIC_POSITIONS crystal
B 0.750 0.250 0.500
Be 0.875 0.125 0.250
Li 0.250 0.750 0.500
Be 0.375 0.125 0.750
Li 0.500 0.500 0.000
B 0.000 0.000 0.000
Be 0.875 0.625 0.250
Be 0.875 0.125 0.750
```

Results
space group = I4_1/amd, No. 141
total moment = 0.000 μB per atom
total DFT energy (no corrections) = -3.579 eV/atom

***

# 13
LiBeB | PBE | optimized geometry Values from VASP.

Cell and atoms, written as Quantum ESPRESSO input:
```
&SYSTEM
  ibrav = 0, nat = 12, ntyp = 3
/
ATOMIC_SPECIES
Be 9.01 Be.upf
Li 6.94 Li.upf
B 10.81 B.upf
CELL_PARAMETERS angstrom
5.501 0.733 6.049
1.192 5.656 5.830
-3.916 -5.888 -4.170
ATOMIC_POSITIONS crystal
Be 0.989 0.221 0.768
Li 0.753 0.000 0.753
B 0.459 0.500 0.959
Be 0.911 0.786 0.125
B 0.391 0.000 0.391
Be 0.339 0.214 0.125
Li 0.095 0.500 0.595
Be 0.547 0.779 0.768
B 0.712 0.266 0.445
Li 0.609 0.642 0.967
Li 0.326 0.358 0.967
B 0.179 0.734 0.445
```

Results
space group = Imm2, No. 44
total moment = 0.000 μB per atom
total DFT energy (no corrections) = -3.998 eV/atom
offset from the most stable computed form = 22.1 kJ/mol of atoms

***

# 14
LiBeB3 | PBE | optimized geometry Values from VASP.

Cell and atoms, written as Quantum ESPRESSO input:
```
&SYSTEM
  ibrav = 0, nat = 5, ntyp = 3
/
ATOMIC_SPECIES
B 10.81 B.upf
Li 6.94 Li.upf
Be 9.01 Be.upf
CELL_PARAMETERS angstrom
3.534 0.000 0.000
0.000 3.534 0.000
0.000 0.000 3.534
ATOMIC_POSITIONS crystal
B 0.000 0.000 0.500
B 0.000 0.500 0.000
Li 0.000 0.000 0.000
B 0.500 0.000 0.000
Be 0.500 0.500 0.500
```

Results
space group = Pm-3m, No. 221
total moment = 0.000 μB per atom
total DFT energy (no corrections) = -3.129 eV/atom
offset from the most stable computed form = 70.7 kJ/mol of atoms

***

# 15
LiBeB2 | PBE | optimized geometry Values from VASP.

Cell and atoms, written as Quantum ESPRESSO input:
```
&SYSTEM
  ibrav = 0, nat = 8, ntyp = 3
/
ATOMIC_SPECIES
B 10.81 B.upf
Be 9.01 Be.upf
Li 6.94 Li.upf
CELL_PARAMETERS angstrom
3.327 0.000 0.000
0.000 3.327 0.000
1.664 1.664 6.687
ATOMIC_POSITIONS crystal
B 0.375 0.125 0.750
B 0.875 0.125 0.250
Be 0.000 0.000 0.000
B 0.875 0.125 0.750
Li 0.500 0.500 0.000
Li 0.250 0.750 0.500
B 0.875 0.625 0.250
Be 0.750 0.250 0.500
```

Results
space group = I4_1/amd, No. 141
total moment = 0.000 μB per atom
total DFT energy (no corrections) = -4.514 eV/atom

***

# 16
LiBeB | PBE | optimized geometry Values from VASP.

Cell and atoms, written as Quantum ESPRESSO input:
```
&SYSTEM
  ibrav = 0, nat = 12, ntyp = 3
/
ATOMIC_SPECIES
Be 9.01 Be.upf
Li 6.94 Li.upf
B 10.81 B.upf
CELL_PARAMETERS angstrom
-3.668 1.780 -0.139
-0.596 -1.430 -2.588
-0.215 -9.225 5.147
ATOMIC_POSITIONS crystal
Be 0.333 0.500 0.586
Li 0.139 0.500 0.887
Li 0.139 0.000 0.387
Be 0.667 0.000 0.914
Be 0.333 0.000 0.086
B 0.533 0.000 0.281
Li 0.861 0.500 0.113
Be 0.667 0.500 0.414
Li 0.861 0.000 0.613
B 0.467 0.500 0.219
B 0.467 0.000 0.719
B 0.533 0.500 0.781
```

Results
space group = C2/m, No. 12
total moment = 0.000 μB per atom
total DFT energy (no corrections) = -4.101 eV/atom
offset from the most stable computed form = 12.2 kJ/mol of atoms

***

# 17
LiBeB | PBE | optimized geometry Values from VASP.

Cell and atoms, written as Quantum ESPRESSO input:
```
&SYSTEM
  ibrav = 0, nat = 6, ntyp = 3
/
ATOMIC_SPECIES
Be 9.01 Be.upf
B 10.81 B.upf
Li 6.94 Li.upf
CELL_PARAMETERS angstrom
3.708 0.000 -0.006
0.000 2.984 0.000
-0.908 0.000 5.654
ATOMIC_POSITIONS crystal
Be 0.651 0.750 0.615
Be 0.349 0.250 0.385
B 0.883 0.250 0.472
Li 0.774 0.750 0.158
B 0.117 0.750 0.528
Li 0.226 0.250 0.842
```

Results
space group = P2_1/m, No. 11
total moment = 0.000 μB per atom
total DFT energy (no corrections) = -4.228 eV/atom
offset from the most stable computed form = 0.0 kJ/mol of atoms

***

# 18
LiBeB | PBE | optimized geometry Values from VASP.

Cell and atoms, written as Quantum ESPRESSO input:
```
&SYSTEM
  ibrav = 0, nat = 6, ntyp = 3
/
ATOMIC_SPECIES
Be 9.01 Be.upf
B 10.81 B.upf
Li 6.94 Li.upf
CELL_PARAMETERS angstrom
-0.675 -3.118 1.766
1.896 1.678 2.722
-4.139 1.482 0.898
ATOMIC_POSITIONS crystal
Be 0.691 0.826 0.496
B 0.160 0.637 0.433
Li 0.753 0.270 0.067
B 0.840 0.363 0.567
Li 0.247 0.730 0.933
Be 0.309 0.174 0.504
```

Results
space group = P-1, No. 2
total moment = 0.000 μB per atom
total DFT energy (no corrections) = -4.094 eV/atom
offset from the most stable computed form = 12.9 kJ/mol of atoms

***

# 19
LiBeB | PBE | optimized geometry Values from VASP.

Cell and atoms, written as Quantum ESPRESSO input:
```
&SYSTEM
  ibrav = 0, nat = 12, ntyp = 3
/
ATOMIC_SPECIES
Li 6.94 Li.upf
Be 9.01 Be.upf
B 10.81 B.upf
CELL_PARAMETERS angstrom
5.883 0.000 0.003
0.000 3.129 0.000
-1.080 0.000 6.522
ATOMIC_POSITIONS crystal
Li 0.156 0.000 0.165
Be 0.588 0.500 0.646
B 0.615 0.000 0.446
B 0.615 0.500 0.946
Li 0.156 0.500 0.665
B 0.385 0.500 0.054
Be 0.412 0.000 0.854
Be 0.588 0.000 0.146
Li 0.844 0.500 0.335
B 0.385 0.000 0.554
Be 0.412 0.500 0.354
Li 0.844 0.000 0.835
```

Results
space group = C2/m, No. 12
total moment = 0.000 μB per atom
total DFT energy (no corrections) = -4.060 eV/atom
offset from the most stable computed form = 16.1 kJ/mol of atoms

***

# 20
LiBeB | PBE | optimized geometry Values from VASP.

Cell and atoms, written as Quantum ESPRESSO input:
```
&SYSTEM
  ibrav = 0, nat = 6, ntyp = 3
/
ATOMIC_SPECIES
B 10.81 B.upf
Be 9.01 Be.upf
Li 6.94 Li.upf
CELL_PARAMETERS angstrom
-0.525 2.909 -0.435
-2.915 -0.088 2.946
3.934 -0.239 3.845
ATOMIC_POSITIONS crystal
B 0.496 0.257 0.950
B 0.936 0.256 0.827
Be 0.316 0.255 0.588
Li 0.438 0.757 0.855
Be 0.113 0.255 0.184
Li 0.712 0.755 0.384
```

Results
space group = P1, No. 1
total moment = 0.000 μB per atom
total DFT energy (no corrections) = -4.058 eV/atom
offset from the most stable computed form = 16.4 kJ/mol of atoms